Version A
The following is a PBE calculation of a relaxed YPu2In crystal, from Alexandria via LeMat-Bulk.

**D(E_F)**: 3.34 states/eV/atom
**Crystal system**: cubic

```
YPu2In
1.0
-4.1717 -2.8613 1.8876
-0.1838 -5.3398 -0.7782
0.6967 -3.3611 4.1673
Y In Pu
1 1 2
Direct
0.5000 0.5000 0.5000
0.0000 0.0000 0.0000
0.2500 0.2500 0.2499
0.7500 0.7500 0.7501
```

***

Version B
The following is a PBE calculation of a relaxed YPu2In crystal, from Alexandria via LeMat-Bulk.

**D(E_F)**: 2.77 states/eV/atom
**Crystal system**: tetragonal

```
YPu2In
1.0
5.1805 0.0000 0.0000
0.0000 4.5437 0.0000
0.0000 0.0000 4.5437
Y In Pu
1 1 2
Direct
0.5000 0.0000 0.0000
0.5000 0.5000 0.5000
0.0000 0.0000 0.5000
0.0000 0.5000 0.0000
```

***

So which one is most stable? That would be version B, about 0.238 eV/atom below the next structure.

***

Version A
The following is a PBE calculation of a relaxed YPuIn6 crystal, from Alexandria via LeMat-Bulk.

**D(E_F)**: 1.69 states/eV/atom
**Crystal system**: tetragonal

```
YPuIn6
1.0
4.6459 0.0000 0.0000
0.0000 4.6459 0.0000
0.0000 0.0000 9.3095
Y Pu In
1 1 6
Direct
0.0000 0.0000 0.5000
0.0000 0.0000 0.0000
0.5000 0.5000 0.0000
0.5000 0.5000 0.5000
0.5000 0.0000 0.2493
0.5000 0.0000 0.7507
0.0000 0.5000 0.2493
0.0000 0.5000 0.7507
```

***

Version B
The following is a PBE calculation of a relaxed YPuIn6 crystal, from Alexandria via LeMat-Bulk.

**D(E_F)**: 1.59 states/eV/atom
**Crystal system**: hexagonal

```
YPuIn6
1.0
-1.4184 -4.0050 3.1369
5.2721 1.1542 3.8576
-5.7636 3.0316 1.2643
Y Pu In
1 1 6
Direct
0.5000 0.4167 0.5833
0.0000 0.0833 0.9167
0.0000 0.0743 0.4123
0.0000 0.5877 0.9257
0.0000 0.5878 0.4122
0.5000 0.4267 0.0883
0.5000 0.9117 0.5733
0.5000 0.9116 0.0884
```

***

So which one is most stable? That would be version A, about 0.052 eV/atom below the next structure.

***

Version A
The following is a PBE calculation of a relaxed PuZr2In crystal, from Alexandria via LeMat-Bulk.

**D(E_F)**: 2.00 states/eV/atom
**Crystal system**: tetragonal

```
PuZr2In
1.0
4.2092 0.0000 0.0000
0.0000 4.6809 0.0000
0.0000 0.0000 4.6809
In Zr Pu
1 2 1
Direct
0.5000 0.5000 0.5000
0.0000 0.0000 0.5000
0.0000 0.5000 0.0000
0.5000 0.0000 0.0000
```

***

Version B
The following is a PBE calculation of a relaxed PuZr2In crystal, from Alexandria via LeMat-Bulk.

**D(E_F)**: 1.68 states/eV/atom
**Crystal system**: tetragonal

```
PuZr2In
1.0
3.1860 0.0000 0.0000
0.0000 3.1860 0.0000
0.0000 0.0000 9.1797
In Zr Pu
1 2 1
Direct
0.5000 0.5000 0.5000
0.0000 0.0000 0.7400
0.0000 0.0000 0.2600
0.5000 0.5000 0.0000
```

***

So which one is most stable? That would be version A, about 0.074 eV/atom below the next structure.

***

Version A
The following is a PBE calculation of a relaxed PuZr2In crystal, from Alexandria via LeMat-Bulk.

**D(E_F)**: 1.88 states/eV/atom
**Crystal system**: trigonal

```
PuZr2In
1.0
-0.4066 -1.3921 -2.9506
2.1198 -2.2853 -1.0456
-5.1612 -8.4674 2.8745
In Zr Pu
1 2 1
Direct
0.5000 0.5000 0.5000
0.2497 0.2497 0.2510
0.7503 0.7503 0.7490
0.0000 0.0000 0.0000
```

***

Version B
The following is a PBE calculation of a relaxed PuZr2In crystal, from Alexandria via LeMat-Bulk.

**D(E_F)**: 3.02 states/eV/atom
**Crystal system**: cubic

```
PuZr2In
1.0
5.0711 0.0000 0.0000
2.5356 4.3917 0.0000
2.5356 1.4639 4.1406
In Zr Pu
1 2 1
Direct
0.5000 0.5000 0.5000
0.2500 0.2500 0.2500
0.7500 0.7500 0.7500
0.0000 0.0000 0.0000
```

***

So which one is most stable? That would be version B, about 0.012 eV/atom below the next structure.

***

Version A
The following is a PBE calculation of a relaxed PuZrIn crystal, from Alexandria via LeMat-Bulk.

**D(E_F)**: 2.47 states/eV/atom
**Crystal system**: hexagonal

```
PuZrIn
1.0
3.1669 0.0000 0.0000
0.0000 5.2016 0.0000
0.0000 -2.6008 4.5047
In Zr Pu
1 1 1
Direct
0.5005 0.6667 0.3333
0.4995 0.3333 0.6667
0.0000 0.0000 0.0000
```

***

Version B
The following is a PBE calculation of a relaxed PuZrIn crystal, from Alexandria via LeMat-Bulk.

**D(E_F)**: 1.10 states/eV/atom
**Crystal system**: orthorhombic

```
PuZrIn
1.0
5.6858 0.0000 0.0000
0.0000 10.6370 -0.7681
0.0000 -0.6400 4.4857
In Pu Zr
4 4 4
Direct
0.9998 0.5908 0.2955
0.5002 0.5908 0.7955
0.0002 0.4092 0.7045
0.4998 0.4092 0.2045
0.1946 0.0001 0.5759
0.3054 0.0001 0.0759
0.8054 0.9999 0.4241
0.6946 0.9999 0.9241
0.5000 0.2234 0.6116
0.0000 0.7766 0.8884
0.5000 0.7766 0.3884
0.0000 0.2234 0.1116
```

***

Version C
The following is a PBE calculation of a relaxed PuZrIn crystal, from Alexandria via LeMat-Bulk.

**D(E_F)**: 2.09 states/eV/atom
**Crystal system**: tetragonal

```
PuZrIn
1.0
3.1437 0.0000 0.0000
0.0000 3.1437 0.0000
-1.5718 -1.5718 7.3055
In Zr Pu
1 1 1
Direct
0.0054 0.0054 0.0108
0.6612 0.6612 0.3224
0.3334 0.3334 0.6667
```

***

So which one is most stable? That would be version C, about 0.112 eV/atom below the next structure.

***

Version A
The following is a PBE calculation of a relaxed Pu2ZrIn crystal, from Alexandria via LeMat-Bulk.

**D(E_F)**: 3.87 states/eV/atom
**Crystal system**: trigonal

```
Pu2ZrIn
1.0
-2.0049 -2.5078 -0.5148
0.5323 -2.0226 -2.4899
6.1829 -8.2649 5.9123
In Zr Pu
1 1 2
Direct
0.0000 0.0000 0.0000
0.5000 0.5000 0.5000
0.0917 0.0917 0.7250
0.9083 0.9083 0.2750
```

***

Version B
The following is a PBE calculation of a relaxed Pu2ZrIn crystal, from Alexandria via LeMat-Bulk.

**D(E_F)**: 2.57 states/eV/atom
**Crystal system**: tetragonal

```
Pu2ZrIn
1.0
4.9889 0.0000 0.0000
0.0000 4.3960 0.0000
0.0000 0.0000 4.3960
In Zr Pu
1 1 2
Direct
0.5000 0.5000 0.5000
0.5000 0.0000 0.0000
0.0000 0.0000 0.5000
0.0000 0.5000 0.0000
```

***

So which one is most stable? That would be version B, about 0.328 eV/atom below the next structure.

***

Version A
The following is a PBE calculation of a relaxed RbIn crystal, from Alexandria via LeMat-Bulk.

**D(E_F)**: 0.68 states/eV/atom
**Crystal system**: orthorhombic

```
RbIn
1.0
11.4853 0.0000 0.0000
0.0000 8.9840 0.0000
0.0000 0.0000 6.8342
Rb In
8 8
Direct
0.3268 0.3530 0.2500
0.3268 0.6470 0.7500
0.6732 0.3530 0.2500
0.6732 0.6470 0.7500
0.8268 0.8530 0.2500
0.8268 0.1470 0.7500
0.1732 0.8530 0.2500
0.1732 0.1470 0.7500
0.0000 0.5000 0.0000
0.0000 0.5000 0.5000
0.5000 0.0000 0.0000
0.5000 0.0000 0.5000
0.0000 0.2367 0.2500
0.0000 0.7633 0.7500
0.5000 0.7367 0.2500
0.5000 0.2633 0.7500
```

***

Version B
The following is a PBE calculation of a relaxed RbIn crystal, from Alexandria via LeMat-Bulk.

**D(E_F)**: 0.64 states/eV/atom
**Crystal system**: orthorhombic

```
RbIn
1.0
4.0425 0.0000 0.0000
0.0000 11.8483 0.0000
0.0000 0.0000 11.7562
Rb In
6 6
Direct
0.5000 0.8349 0.6006
0.5000 0.1651 0.6006
0.5000 0.3349 0.1006
0.5000 0.6651 0.1006
0.5000 0.0000 0.2032
0.5000 0.5000 0.7032
0.0000 0.2397 0.8556
0.0000 0.7603 0.8556
0.0000 0.7397 0.3556
0.0000 0.2603 0.3556
0.0000 0.0000 0.8863
0.0000 0.5000 0.3863
```

***

Version C
The following is a PBE calculation of a relaxed RbIn crystal, from Alexandria via LeMat-Bulk.

**D(E_F)**: 1.24 states/eV/atom
**Crystal system**: cubic

```
RbIn
1.0
11.0458 0.0000 0.0000
0.0000 11.0458 0.0000
0.0000 0.0000 11.0458
Rb In
8 8
Direct
0.2083 0.2083 0.2083
0.2083 0.7917 0.7917
0.7917 0.2083 0.7917
0.7917 0.7917 0.2083
0.7083 0.7083 0.7083
0.7083 0.2917 0.2917
0.2917 0.7083 0.2917
0.2917 0.2917 0.7083
0.3997 0.3997 0.3997
0.3997 0.6003 0.6003
0.6003 0.3997 0.6003
0.6003 0.6003 0.3997
0.8997 0.8997 0.8997
0.8997 0.1003 0.1003
0.1003 0.8997 0.1003
0.1003 0.1003 0.8997
```

***

So which one is most stable? That would be version A, about 0.171 eV/atom below the next structure.

***

Version A
The following is a PBE calculation of a relaxed RbIn6 crystal, from Alexandria via LeMat-Bulk.

**D(E_F)**: 0.77 states/eV/atom
**Crystal system**: cubic

```
RbIn6
1.0
7.1289 0.0000 0.0000
-2.3763 6.7212 0.0000
-2.3763 -3.3606 5.8207
Rb In
1 6
Direct
0.0000 0.0000 0.0000
0.2500 0.7500 0.5000
0.5000 0.7500 0.2500
0.2500 0.5000 0.7500
0.7500 0.2500 0.5000
0.5000 0.2500 0.7500
0.7500 0.5000 0.2500
```

***

Version B
The following is a PBE calculation of a relaxed RbIn6 crystal, from Alexandria via LeMat-Bulk.

**D(E_F)**: 0.21 states/eV/atom
**Crystal system**: cubic

```
RbIn6
1.0
-6.4427 -1.2880 -2.3813
2.5762 -4.8061 -4.3706
-0.8322 -4.9072 4.9056
Rb In
1 6
Direct
0.0000 0.0000 0.0000
0.1964 0.5000 0.5000
0.5000 0.5000 0.8036
0.5000 0.5000 0.1964
0.5000 0.1964 0.5000
0.5000 0.8036 0.5000
0.8036 0.5000 0.5000
```

***

So which one is most stable? That would be version A, about 0.063 eV/atom below the next structure.